one) Density functional theory data (GGA-PBE) for a relaxed structure of K2In2As.

Values from the calculation:
Crystal system: monoclinic

a = 7.539 Å, b = 7.198 Å, c = 7.822 Å
α = 106.71°, β = 90.00°, γ = 121.58°
Element x y z (fractional)
1 As 0.193 0.000 0.250
2 As 0.807 0.000 0.750
3 In 0.047 0.822 0.555
4 K 0.407 0.663 0.369
5 In 0.225 0.178 0.945
6 In 0.775 0.822 0.055
7 K 0.744 0.337 0.131
8 K 0.593 0.337 0.631
9 In 0.953 0.178 0.445
10 K 0.256 0.663 0.869


two) Density functional theory data (GGA-PBE) for a relaxed structure of K2In2As.

Values from the calculation:
Crystal system: tetragonal

a = 7.615 Å, b = 7.615 Å, c = 5.819 Å
α = 90.00°, β = 90.00°, γ = 90.00°
Element x y z (fractional)
1 In 0.636 0.136 0.000
2 K 0.816 0.316 0.500
3 In 0.864 0.636 0.000
4 In 0.364 0.864 0.000
5 In 0.136 0.364 0.000
6 As 0.000 0.000 0.000
7 K 0.684 0.816 0.500
8 K 0.316 0.184 0.500
9 K 0.184 0.684 0.500
10 As 0.500 0.500 0.000


Pick one): it beats the second-best structure by 74 meV per atom.


one) Density functional theory data (GGA-PBE) for a relaxed structure of KNaInAs2.

Values from the calculation:
Crystal system: tetragonal

a = 5.671 Å, b = 5.242 Å, c = 5.671 Å
α = 90.00°, β = 90.00°, γ = 90.00°
Element x y z (fractional)
1 K 0.000 0.000 0.000
2 As 0.500 0.000 0.000
3 As 0.000 0.000 0.500
4 In 0.500 0.500 0.500
5 Na 0.000 0.500 0.000


two) Density functional theory data (GGA-PBE) for a relaxed structure of KNaInAs2.

Values from the calculation:
Crystal system: monoclinic

a = 3.850 Å, b = 8.420 Å, c = 10.017 Å
α = 81.83°, β = 78.92°, γ = 76.78°
Element x y z (fractional)
1 K 0.793 0.792 0.621
2 As 0.847 0.229 0.077
3 As 0.565 0.213 0.658
4 In 0.039 0.094 0.828
5 Na 0.352 0.421 0.875
6 In 0.961 0.906 0.172
7 As 0.435 0.787 0.342
8 As 0.153 0.771 0.923
9 Na 0.648 0.579 0.125
10 K 0.207 0.208 0.379


Pick two): it beats the second-best structure by 1041 meV per atom.


one) Density functional theory data (GGA-PBE) for a relaxed structure of K2InAsO.

Values from the calculation:
Crystal system: tetragonal

a = 6.873 Å, b = 4.956 Å, c = 6.873 Å
α = 90.00°, β = 90.00°, γ = 90.00°
Element x y z (fractional)
1 As 0.000 0.500 0.000
2 O 0.500 0.500 0.500
3 K 0.500 0.000 0.000
4 In 0.000 0.000 0.000
5 K 0.000 0.000 0.500


two) Density functional theory data (GGA-PBE) for a relaxed structure of K2InAsO.

Values from the calculation:
Crystal system: tetragonal

a = 5.343 Å, b = 4.457 Å, c = 5.343 Å
α = 90.00°, β = 90.00°, γ = 90.00°
Element x y z (fractional)
1 In 0.000 0.500 0.000
2 K 0.000 0.000 0.500
3 As 0.500 0.500 0.500
4 O 0.000 0.000 0.000
5 K 0.500 0.000 0.000


Pick two): it beats the second-best structure by 754 meV per atom.


one) Density functional theory data (GGA-PBE) for a relaxed structure of KInAs2Se.

Values from the calculation:
Crystal system: tetragonal

a = 5.833 Å, b = 5.833 Å, c = 5.872 Å
α = 90.00°, β = 90.00°, γ = 90.00°
Element x y z (fractional)
1 As 0.000 0.500 0.000
2 Se 0.000 0.000 0.500
3 K 0.000 0.000 0.000
4 In 0.500 0.500 0.500
5 As 0.500 0.000 0.000


two) Density functional theory data (GGA-PBE) for a relaxed structure of KInAs2Se.

Values from the calculation:
Crystal system: tetragonal

a = 5.331 Å, b = 5.331 Å, c = 5.569 Å
α = 90.00°, β = 90.00°, γ = 90.00°
Element x y z (fractional)
1 As 0.000 0.500 0.000
2 As 0.500 0.000 0.000
3 In 0.000 0.000 0.000
4 K 0.500 0.500 0.500
5 Se 0.000 0.000 0.500


Pick two): it beats the second-best structure by 888 meV per atom.


one) Density functional theory data (GGA-PBE) for a relaxed structure of KInAsSe2.

Values from the calculation:
Crystal system: tetragonal

a = 6.257 Å, b = 6.257 Å, c = 6.465 Å
α = 90.00°, β = 90.00°, γ = 90.00°
Element x y z (fractional)
1 Se 0.000 0.500 0.000
2 As 0.000 0.000 0.500
3 Se 0.500 0.000 0.000
4 K 0.000 0.000 0.000
5 In 0.500 0.500 0.500


two) Density functional theory data (GGA-PBE) for a relaxed structure of KInAsSe2.

Values from the calculation:
Crystal system: tetragonal

a = 5.477 Å, b = 5.477 Å, c = 5.319 Å
α = 90.00°, β = 90.00°, γ = 90.00°
Element x y z (fractional)
1 As 0.000 0.000 0.500
2 K 0.500 0.500 0.500
3 Se 0.000 0.500 0.000
4 Se 0.500 0.000 0.000
5 In 0.000 0.000 0.000


Pick two): it beats the second-best structure by 882 meV per atom.


one) Density functional theory data (GGA-PBE) for a relaxed structure of LaInAs3.

Values from the calculation:
Crystal system: cubic

a = 5.686 Å, b = 5.686 Å, c = 5.686 Å
α = 90.00°, β = 90.00°, γ = 90.00°
Element x y z (fractional)
1 As 0.000 0.500 0.000
2 As 0.500 0.000 0.000
3 La 0.000 0.000 0.000
4 As 0.000 0.000 0.500
5 In 0.500 0.500 0.500


two) Density functional theory data (GGA-PBE) for a relaxed structure of LaInAs3.

Values from the calculation:
Crystal system: cubic

a = 5.182 Å, b = 5.182 Å, c = 5.182 Å
α = 90.00°, β = 90.00°, γ = 90.00°
Element x y z (fractional)
1 As 0.500 0.000 0.000
2 In 0.000 0.000 0.000
3 As 0.000 0.000 0.500
4 As 0.000 0.500 0.000
5 La 0.500 0.500 0.500


Pick two): it beats the second-best structure by 383 meV per atom.